# YMo2F PBE+U optimized geometry
# Energy above the lowest structure with this stoichiometry: 0 meV/atom
# Volume: 24.633 Å³/atom
# DOS(E_F): 4.14 states/eV/f.u.
# Density: 5.052 Mg/m³
# Spin magnetization: 4.56 μB/f.u.
data_YMo2F
_chemical_formula_sum 'Y4 Mo8 F4'
_space_group_name_H-M_alt 'I 41/a m d'
_space_group_IT_number 141
_cell_length_a 5.441
_cell_length_b 5.441
_cell_length_c 13.313
_cell_angle_alpha 90.00
_cell_angle_beta 90.00
_cell_angle_gamma 90.00
loop_
_space_group_symop_operation_xyz
'x,y,z'
'-x,-y,-z'
'-y+1/4,x+3/4,z+1/4'
'y+1/4,-x+3/4,-z+1/4'
'-x+1/2,-y,z+1/2'
'x+1/2,y,-z+1/2'
'y+1/4,-x+1/4,z+3/4'
'-y+1/4,x+1/4,-z+3/4'
'x,-y,-z'
'-x,y,z'
'-y+1/4,-x+1/4,-z+3/4'
'y+1/4,x+1/4,z+3/4'
'-x+1/2,y,-z+1/2'
'x+1/2,-y,z+1/2'
'y+1/4,x+3/4,-z+1/4'
'-y+1/4,-x+3/4,z+1/4'
'x+1/2,y+1/2,z+1/2'
'-x+1/2,-y+1/2,-z+1/2'
'-y+3/4,x+1/4,z+3/4'
'y+3/4,-x+1/4,-z+3/4'
'-x,-y+1/2,z'
'x,y+1/2,-z'
'y+3/4,-x+3/4,z+1/4'
'-y+3/4,x+3/4,-z+1/4'
'x+1/2,-y+1/2,-z+1/2'
'-x+1/2,y+1/2,z+1/2'
'-y+3/4,-x+3/4,-z+1/4'
'y+3/4,x+3/4,z+1/4'
'-x,y+1/2,-z'
'x,-y+1/2,z'
'y+3/4,x+1/4,-z+3/4'
'-y+3/4,-x+1/4,z+3/4'
loop_
_atom_site_label
_atom_site_type_symbol
_atom_site_fract_x
_atom_site_fract_y
_atom_site_fract_z
Y1 Y 0.000 0.250 0.375
Mo1 Mo 0.000 0.000 0.000
F1 F 0.000 0.250 0.875